## ZnAuC (PBE)

Data for a relaxed ZnAuC crystal.

```
data_ZnAuC
_cell_length_a 4.962
_cell_length_b 3.317
_cell_length_c 6.152
_cell_angle_alpha 90.00
_cell_angle_beta 104.43
_cell_angle_gamma 90.00
_symmetry_space_group_name_H-M 'P 1'
_symmetry_Int_Tables_number 1
_symmetry_space_group_name_Hall 'P 1'
loop_
_atom_site_label
_atom_site_type_symbol
_atom_site_fract_x
_atom_site_fract_y
_atom_site_fract_z
_atom_site_occupancy
Zn1 Zn 0.415 0.500 0.471 1
Zn2 Zn 0.925 0.000 0.291 1
Au1 Au 0.376 0.000 0.127 1
Au2 Au 0.753 0.500 0.941 1
C1 C 0.827 0.500 0.611 1
C2 C 0.050 0.500 0.544 1
```

Summary:
**Symmetry**: Pm (6)
**Raw total energy**: -0.2983 Ry per atom
**Energy relative to the elements**: 0.532 eV per atom
**Magnetization**: 0.00 μB/f.u.
**ΔE to the lowest computed polymorph**: 0.036 eV/atom
**D(E_F)**: 0.59 states/eV/f.u.
**V**: 49.03 Å³/f.u.